# YTa2Cr, relaxed, DFT PBE
data_YTa2Cr
_symmetry_space_group_name_H-M 'C m m 2'
_symmetry_Int_Tables_number 35
_symmetry_space_group_name_Hall 'C 2 -2'
_cell_length_a 3.297
_cell_length_b 4.911
_cell_length_c 9.367
_cell_angle_alpha 90.00
_cell_angle_beta 90.00
_cell_angle_gamma 90.00
loop_
_atom_site_label
_atom_site_fract_x
_atom_site_fract_y
_atom_site_fract_z
_atom_site_occupancy
Y1 0.000 0.000 0.000 1
Ta1 0.000 0.000 0.548 1
Ta2 0.000 0.500 0.302 1
Cr1 0.000 0.500 0.748 1
# Formation enthalpy at 0 K, eV per atom: 0.426
# Fermi-level density of states, states/eV per cell: 12.2
# DFT total energy, eV per atom: -9.52
# Calculated density, g/cm³: 11.01
# Polymorph energy (0 for the lowest one), kJ per mole of atoms: 14.1